# 1
Below is a relaxed Nd3Tm4Hg crystal, with properties calculated at the PBE level.

```
data_Nd3Tm4Hg
_space_group_name_H-M_alt 'P 1'
_space_group_IT_number 1
_cell_length_a 3.594
_cell_length_b 3.594
_cell_length_c 18.992
_cell_angle_alpha 90.00
_cell_angle_beta 90.00
_cell_angle_gamma 90.00
loop_
_space_group_symop_operation_xyz
'x,y,z'
loop_
_atom_site_label
_atom_site_type_symbol
_atom_site_fract_x
_atom_site_fract_y
_atom_site_fract_z
Nd1 Nd 0.000 0.000 0.000
Nd2 Nd 0.000 0.000 0.265
Nd3 Nd 0.000 0.000 0.735
Tm1 Tm 0.500 0.500 0.133
Tm2 Tm 0.500 0.500 0.398
Tm3 Tm 0.500 0.500 0.602
Tm4 Tm 0.500 0.500 0.867
Hg1 Hg 0.000 0.000 0.500
```

Output
magnetization = 0.000 μB/f.u.
space group = No. 123
electronic total energy = -33.4 eV per cell
DOS at the Fermi energy = 9.2 states/eV per cell

# 2
Below is a relaxed AlSiPt2 crystal, with properties calculated at the PBE level.

```
data_AlSiPt2
_space_group_name_H-M_alt 'P 1'
_space_group_IT_number 1
_cell_length_a 3.412
_cell_length_b 3.412
_cell_length_c 5.159
_cell_angle_alpha 90.00
_cell_angle_beta 90.00
_cell_angle_gamma 90.00
loop_
_space_group_symop_operation_xyz
'x,y,z'
loop_
_atom_site_label
_atom_site_type_symbol
_atom_site_fract_x
_atom_site_fract_y
_atom_site_fract_z
Al1 Al 0.000 0.000 0.000
Si1 Si 0.500 0.500 0.679
Pt1 Pt 0.000 0.000 0.521
Pt2 Pt 0.500 0.500 0.169
```

Output
magnetization = 0.000 μB/f.u.
space group = No. 99
formation energy without anion corrections = -806 meV per atom
DOS at the Fermi energy = 0.7 states/eV per cell

# 3
Below is a relaxed ZrVNi crystal, with properties calculated at the PBE level.

```
data_ZrVNi
_space_group_name_H-M_alt 'P 1'
_space_group_IT_number 1
_cell_length_a 5.305
_cell_length_b 5.305
_cell_length_c 5.305
_cell_angle_alpha 135.91
_cell_angle_beta 104.09
_cell_angle_gamma 92.20
loop_
_space_group_symop_operation_xyz
'x,y,z'
loop_
_atom_site_label
_atom_site_type_symbol
_atom_site_fract_x
_atom_site_fract_y
_atom_site_fract_z
Zr1 Zr 0.000 0.000 0.000
Zr2 Zr 0.616 0.116 0.500
V1 V 0.044 0.726 0.318
V2 V 0.408 0.726 0.682
Ni1 Ni 0.204 0.398 0.805
Ni2 Ni 0.593 0.398 0.195
```

Output
magnetization = 0.000 μB/f.u.
space group = No. 44
electronic total energy = -47.6 eV per cell
DOS at the Fermi energy = 6.6 states/eV per cell

# 4
Below is a relaxed BaCaMgTi2 crystal, with properties calculated at the PBE level.

```
data_BaCaMgTi2
_space_group_name_H-M_alt 'P 1'
_space_group_IT_number 1
_cell_length_a 5.263
_cell_length_b 5.263
_cell_length_c 5.745
_cell_angle_alpha 90.00
_cell_angle_beta 90.00
_cell_angle_gamma 90.00
loop_
_space_group_symop_operation_xyz
'x,y,z'
loop_
_atom_site_label
_atom_site_type_symbol
_atom_site_fract_x
_atom_site_fract_y
_atom_site_fract_z
Ba1 Ba 0.000 0.000 0.000
Ca1 Ca 0.500 0.500 0.500
Mg1 Mg 0.500 0.500 0.000
Ti1 Ti 0.000 0.500 0.500
Ti2 Ti 0.500 0.000 0.500
```

Output
magnetization = 2.209 μB/f.u.
space group = No. 123
electronic total energy = -15.5 eV per cell
DOS at the Fermi energy = 7.1 states/eV per cell

# 5
Below is a relaxed Ba2Li3NdBi4 crystal, with properties calculated at the PBE level.

```
data_Ba2Li3NdBi4
_space_group_name_H-M_alt 'P 1'
_space_group_IT_number 1
_cell_length_a 5.086
_cell_length_b 5.086
_cell_length_c 12.373
_cell_angle_alpha 90.00
_cell_angle_beta 90.00
_cell_angle_gamma 90.00
loop_
_space_group_symop_operation_xyz
'x,y,z'
loop_
_atom_site_label
_atom_site_type_symbol
_atom_site_fract_x
_atom_site_fract_y
_atom_site_fract_z
Ba1 Ba 0.000 0.500 0.220
Ba2 Ba 0.500 0.000 0.780
Li1 Li 0.000 0.500 0.884
Li2 Li 0.500 0.000 0.116
Li3 Li 0.500 0.500 0.500
Nd1 Nd 0.000 0.000 0.500
Bi1 Bi 0.000 0.000 0.000
Bi2 Bi 0.000 0.500 0.651
Bi3 Bi 0.500 0.000 0.349
Bi4 Bi 0.500 0.500 0.000
```

Output
magnetization = 0.238 μB/f.u.
space group = No. 115
electronic total energy = -37.1 eV per cell
DOS at the Fermi energy = 3.9 states/eV per cell

# 6
Below is a relaxed AcSnBiO crystal, with properties calculated at the PBE level.

```
data_AcSnBiO
_space_group_name_H-M_alt 'P 1'
_space_group_IT_number 1
_cell_length_a 8.891
_cell_length_b 8.891
_cell_length_c 8.891
_cell_angle_alpha 156.65
_cell_angle_beta 156.65
_cell_angle_gamma 33.27
loop_
_space_group_symop_operation_xyz
'x,y,z'
loop_
_atom_site_label
_atom_site_type_symbol
_atom_site_fract_x
_atom_site_fract_y
_atom_site_fract_z
Ac1 Ac 0.000 0.000 0.000
Sn1 Sn 0.691 0.691 0.000
Bi1 Bi 0.315 0.315 0.000
O1 O 0.505 0.505 0.000
```

Output
magnetization = 0.000 μB/f.u.
space group = No. 107
formation energy without anion corrections = -1209 meV per atom
DOS at the Fermi energy = 1.4 states/eV per cell